# 1
A relaxed structure of LiSi2B, computed with GGA-PBEsol.

Cell lengths 6.7989, 6.7989, 8.8037 Å; angles 90.00, 90.00, 90.00 degrees
Space group P4_2/nmc (No. 137, origin choice 2)
Unique sites:
Li 0.0036 0.7500 0.0759
Si 0.0662 0.7500 0.6208
Si 0.0691 0.2500 0.6363
B 0.0078 0.5078 0.7500

Values from the calculation:
The value obtained for the calculated density is 2.41 g cm⁻³. As for the crystal system: tetragonal. As for the total magnetization: 0.00 μB/cell. The calculation puts the total energy at -5.2978 eV per atom.

# 2
A relaxed structure of LiSnB2, computed with GGA-PBEsol.

Cell lengths 5.8479, 5.8479, 5.8479 Å; angles 90.00, 90.00, 90.00 degrees
Space group Fm-3m (No. 225)
Unique sites:
Li 0.0000 0.0000 0.0000
Sn 0.0000 0.0000 0.5000
B 0.2500 0.2500 0.2500

Values from the calculation:
Its energy relative to the elements is 1.05 eV/atom. The value obtained for the calculated density is 4.89 g cm⁻³. As for the crystal system: cubic. As for the total magnetization: 0.00 μB/cell. The calculation puts the total energy at -4.0130 eV per atom.

# 3
A relaxed structure of Sr2LiYB, computed with GGA-PBEsol.

Cell lengths 5.6826, 5.6826, 4.2982 Å; angles 90.00, 90.00, 90.00 degrees
Space group P4/mmm (No. 123)
Unique sites:
Sr 0.0000 0.5000 0.0000
Li 0.0000 0.0000 0.0000
Y 0.5000 0.5000 0.5000
B 0.0000 0.0000 0.5000

Values from the calculation:
Its energy relative to the elements is 0.83 eV/atom. The value obtained for the calculated density is 3.37 g cm⁻³. As for the crystal system: tetragonal. As for the total magnetization: 0.00 μB/cell. The calculation puts the total energy at -3.0640 eV per atom.

# 4
A relaxed structure of Li2ZrTaB, computed with GGA-PBEsol.

Cell lengths 4.4658, 4.4658, 4.1706 Å; angles 90.00, 90.00, 90.00 degrees
Space group P4/mmm (No. 123)
Unique sites:
Li 0.0000 0.5000 0.0000
Zr 0.0000 0.0000 0.5000
Ta 0.5000 0.5000 0.0000
B 0.5000 0.5000 0.5000

Values from the calculation:
Its energy relative to the elements is 1.26 eV/atom. The value obtained for the calculated density is 5.93 g cm⁻³. As for the crystal system: tetragonal. As for the total magnetization: 0.41 μB/cell. The calculation puts the total energy at -5.2535 eV per atom.

# 5
A relaxed structure of LiTc3B, computed with GGA-PBEsol.

Cell lengths 4.0539, 4.0539, 4.0539 Å; angles 90.00, 90.00, 90.00 degrees
Space group Pm-3m (No. 221)
Unique sites:
Li 0.0000 0.0000 0.0000
Tc 0.0000 0.5000 0.5000
B 0.5000 0.5000 0.5000

Values from the calculation:
Its energy relative to the elements is 0.45 eV/atom. The value obtained for the calculated density is 7.77 g cm⁻³. As for the crystal system: cubic. As for the total magnetization: 0.00 μB/cell. The calculation puts the total energy at -8.1071 eV per atom.

# 6
A relaxed structure of LiBTe2, computed with GGA-PBEsol.

Cell lengths 4.6269, 4.6269, 20.3168 Å; angles 90.00, 90.00, 120.00 degrees
Space group R-3m (No. 166, hexagonal axes)
Unique sites:
Li 0.0000 0.0000 0.0000
B 0.0000 0.0000 0.5000
Te 0.0000 0.0000 0.4002

Values from the calculation:
The value obtained for the calculated density is 3.61 g cm⁻³. As for the crystal system: trigonal. As for the total magnetization: 0.00 μB/cell. The calculation puts the total energy at -3.8563 eV per atom.

# 7
A relaxed structure of LiTl2B, computed with GGA-PBEsol.

Cell lengths 8.3219, 8.3219, 4.7275 Å; angles 90.00, 90.00, 90.00 degrees
Space group I-42d (No. 122)
Unique sites:
Li 0.0000 0.0000 0.0000
Tl 0.1241 0.2500 0.6250
B 0.0000 0.0000 0.5000

Values from the calculation:
Its energy relative to the elements is 0.51 eV/atom. The value obtained for the calculated density is 8.65 g cm⁻³. As for the crystal system: tetragonal. As for the total magnetization: 0.00 μB/cell. The calculation puts the total energy at -3.0462 eV per atom.

# 8
A relaxed structure of Li2YB2, computed with GGA-PBEsol.

Cell lengths 3.6610, 3.6610, 9.9130 Å; angles 90.00, 90.00, 90.00 degrees
Space group I4/mmm (No. 139)
Unique sites:
Li 0.0000 0.5000 0.2500
Y 0.0000 0.0000 0.0000
B 0.0000 0.0000 0.4194

Values from the calculation:
Its energy relative to the elements is -0.07 eV/atom. The value obtained for the calculated density is 3.11 g cm⁻³. As for the crystal system: tetragonal. As for the total magnetization: 0.00 μB/cell. The calculation puts the total energy at -5.0314 eV per atom.

# 9
A relaxed structure of LiYB3, computed with GGA-PBEsol.

Cell lengths 4.6594, 4.6594, 4.6594 Å; angles 90.00, 90.00, 90.00 degrees
Space group Pm-3m (No. 221)
Unique sites:
Li 0.0000 0.0000 0.0000
Y 0.5000 0.5000 0.5000
B 0.0000 0.5000 0.5000

Values from the calculation:
Its energy relative to the elements is 2.03 eV/atom. The value obtained for the calculated density is 2.11 g cm⁻³. As for the crystal system: cubic. As for the total magnetization: 0.01 μB/cell. The calculation puts the total energy at -3.9344 eV per atom.

# 10
A relaxed structure of Li2ZrZnB, computed with GGA-PBEsol.

Cell lengths 4.1441, 4.1441, 3.9400 Å; angles 90.00, 90.00, 90.00 degrees
Space group P4/mmm (No. 123)
Unique sites:
Li 0.0000 0.5000 0.0000
Zr 0.0000 0.0000 0.5000
Zn 0.5000 0.5000 0.5000
B 0.5000 0.5000 0.0000

Values from the calculation:
Its energy relative to the elements is 0.34 eV/atom. The value obtained for the calculated density is 4.45 g cm⁻³. As for the crystal system: tetragonal. As for the total magnetization: 0.00 μB/cell. The calculation puts the total energy at -3.9887 eV per atom.

# 11
A relaxed structure of LuB6, computed with GGA-PBEsol.

Cell lengths 4.0541, 4.0541, 4.0541 Å; angles 90.00, 90.00, 90.00 degrees
Space group Pm-3m (No. 221)
Unique sites:
Lu 0.0000 0.0000 0.0000
B 0.1983 0.5000 0.5000

Values from the calculation:
Its energy relative to the elements is -0.32 eV/atom. The value obtained for the calculated density is 5.98 g cm⁻³. As for the crystal system: cubic. As for the total magnetization: 0.00 μB/cell. The calculation puts the total energy at -7.0265 eV per atom.

# 12
A relaxed structure of LuB2, computed with GGA-PBEsol.

Cell lengths 3.2166, 3.2166, 3.6784 Å; angles 90.00, 90.00, 120.00 degrees
Space group P6/mmm (No. 191)
Unique sites:
Lu 0.0000 0.0000 0.0000
B 0.3333 0.6667 0.5000

Values from the calculation:
Its energy relative to the elements is -0.77 eV/atom. The value obtained for the calculated density is 9.90 g cm⁻³. As for the crystal system: hexagonal. As for the total magnetization: 0.00 μB/cell. The calculation puts the total energy at -7.0704 eV per atom.

Which value of calculated density does entry 11 give?
5.98 g cm⁻³

total magnetization of number 1 (LiSi2B)?
0.00 μB/cell

calculated density of number 6 (LiBTe2)?
3.61 g cm⁻³

The highest total magnetization belongs to which entry?
Li2ZrTaB